A plane-wave DFT calculation with PBE+U was carried out for a relaxed structure of VCuIO6.

Lattice parameters (Å, degrees): 5.178 5.178 9.017 90.00 90.00 120.00
Fractional coordinates of all 18 atoms:
Cu (0.000, 0.000, 0.000)
Cu (0.000, 0.000, 0.500)
I (0.333, 0.667, 0.750)
I (0.667, 0.333, 0.250)
V (0.333, 0.667, 0.250)
V (0.667, 0.333, 0.750)
O (0.345, 0.982, 0.132)
O (0.018, 0.363, 0.132)
O (0.982, 0.637, 0.868)
O (0.982, 0.345, 0.632)
O (0.345, 0.363, 0.368)
O (0.363, 0.018, 0.632)
O (0.637, 0.655, 0.132)
O (0.018, 0.655, 0.368)
O (0.363, 0.345, 0.868)
O (0.655, 0.018, 0.868)
O (0.655, 0.637, 0.632)
O (0.637, 0.982, 0.368)

Summary:
- Volume: 11.63 A^3/atom
- E_tot: -49.7 eV per formula unit